No. 1
The following is a DFT calculation (PBE-GGA) of an optimized crystal structure of HfPaRh2.

energy of formation from the pure elements	-678	meV per atom
energy above the most stable polymorph in this dataset	135	meV/atom
calculated density	12.357	g/cm3
space-group type	No. 166
electronic total energy	-9.216	eV/atom

Lattice parameters (Å, degrees): 3.883 3.883 6.717 73.20 73.20 60.00
Element x y z (fractional)
Pa  0.000  0.000  0.000
Rh  0.247  0.247  0.258
Rh  0.753  0.753  0.742
Hf  0.500  0.500  0.500

=====

No. 2
The following is a DFT calculation (PBE-GGA) of an optimized crystal structure of HfPaRuRh.

energy of formation from the pure elements	-537	meV per atom
calculated density	13.454	g/cm3
space-group type	No. 216
electronic total energy	-9.556	eV/atom

Lattice parameters (Å, degrees): 4.749 4.749 4.749 60.00 60.00 60.00
Element x y z (fractional)
Pa  0.250  0.250  0.250
Rh  0.500  0.500  0.500
Hf  0.750  0.750  0.750
Ru  0.000  0.000  0.000

=====

No. 3
The following is a DFT calculation (PBE-GGA) of an optimized crystal structure of HfPaRu4.

energy of formation from the pure elements	-274	meV per atom
calculated density	13.042	g/cm3
space-group type	No. 216
electronic total energy	-9.699	eV/atom

Lattice parameters (Å, degrees): 5.272 5.272 5.272 60.00 60.00 60.00
Element x y z (fractional)
Hf  0.000  0.000  0.000
Pa  0.250  0.250  0.250
Ru  0.123  0.626  0.626
Ru  0.626  0.626  0.123
Ru  0.626  0.626  0.626
Ru  0.626  0.123  0.626

=====

No. 4
The following is a DFT calculation (PBE-GGA) of an optimized crystal structure of HfPa2Ru.

energy of formation from the pure elements	-52	meV per atom
energy above the most stable polymorph in this dataset	0	meV/atom
calculated density	13.749	g/cm3
space-group type	No. 123
electronic total energy	-9.607	eV/atom

Lattice parameters (Å, degrees): 3.570 3.570 7.027 90.00 90.00 90.00
Element x y z (fractional)
Hf  0.500  0.500  0.500
Pa  0.000  0.000  0.792
Ru  0.500  0.500  0.000
Pa  0.000  0.000  0.208